Entry from Alexandria via LeMat-Bulk: a geometry-optimized RbHf2Br9 structure (GGA-PBEsol).

Geometry as CIF:
```
data_RbHf2Br9
_chemical_formula_sum 'Rb2 Hf4 Br18'
_cell_length_a 9.989
_cell_length_b 6.802
_cell_length_c 12.821
_cell_angle_alpha 90.00
_cell_angle_beta 113.46
_cell_angle_gamma 90.00
_symmetry_space_group_name_H-M 'P 1 2/c 1'
_symmetry_Int_Tables_number 13
_symmetry_space_group_name_Hall '-P 2yc'
loop_
_atom_site_label
_atom_site_fract_x
_atom_site_fract_y
_atom_site_fract_z
_atom_site_occupancy
Rb1 0.000 0.079 0.250 1
Hf1 0.322 0.235 0.633 1
Br1 0.108 0.387 0.657 1
Br2 0.201 0.089 0.058 1
Br3 0.286 0.388 0.448 1
Br4 0.417 0.085 0.847 1
Br5 0.500 0.471 0.250 1
```

Results
* uncorrected formation energy: -1.461 eV/atom

---

Entry from Alexandria via LeMat-Bulk: a geometry-optimized LiHgW3 structure (GGA-PBEsol).

Geometry as CIF:
```
data_LiHgW3
_chemical_formula_sum 'Li1 Hg1 W3'
_cell_length_a 4.241
_cell_length_b 4.241
_cell_length_c 4.241
_cell_angle_alpha 90.00
_cell_angle_beta 90.00
_cell_angle_gamma 90.00
_symmetry_space_group_name_H-M 'P m -3 m'
_symmetry_Int_Tables_number 221
_symmetry_space_group_name_Hall '-P 4 2 3'
loop_
_atom_site_label
_atom_site_fract_x
_atom_site_fract_y
_atom_site_fract_z
_atom_site_occupancy
Li1 0.000 0.000 0.000 1
Hg1 0.500 0.500 0.500 1
W1 0.000 0.000 0.500 1
```

Results
* DFT formation energy: 736 kJ/mol of formula units

---

Entry from Alexandria via LeMat-Bulk: a geometry-optimized TiBC2 structure (GGA-PBEsol).

Geometry as CIF:
```
data_TiBC2
_chemical_formula_sum 'Ti4 B4 C8'
_cell_length_a 5.061
_cell_length_b 5.061
_cell_length_c 5.061
_cell_angle_alpha 90.00
_cell_angle_beta 90.00
_cell_angle_gamma 90.00
_symmetry_space_group_name_H-M 'F m -3 m'
_symmetry_Int_Tables_number 225
_symmetry_space_group_name_Hall '-F 4 2 3'
loop_
_atom_site_label
_atom_site_fract_x
_atom_site_fract_y
_atom_site_fract_z
_atom_site_occupancy
Ti1 0.000 0.000 0.000 1
B1 0.000 0.000 0.500 1
C1 0.250 0.250 0.250 1
```

Results
* DFT formation energy: 597 kJ/mol of formula units

---

Entry from Alexandria via LeMat-Bulk: a geometry-optimized Ca2Sc structure (GGA-PBEsol).

Geometry as CIF:
```
data_Ca2Sc
_chemical_formula_sum 'Ca4 Sc2'
_cell_length_a 3.608
_cell_length_b 3.608
_cell_length_c 15.435
_cell_angle_alpha 90.00
_cell_angle_beta 90.00
_cell_angle_gamma 90.00
_symmetry_space_group_name_H-M 'I 4/m m m'
_symmetry_Int_Tables_number 139
_symmetry_space_group_name_Hall '-I 4 2'
loop_
_atom_site_label
_atom_site_fract_x
_atom_site_fract_y
_atom_site_fract_z
_atom_site_occupancy
Ca1 0.000 0.000 0.155 1
Sc1 0.000 0.000 0.500 1
```

Results
* DFT formation energy: 56 kJ/mol of formula units

---

Entry from Alexandria via LeMat-Bulk: a geometry-optimized BeIn2Br structure (GGA-PBEsol).

Geometry as CIF:
```
data_BeIn2Br
_chemical_formula_sum 'Be2 In4 Br2'
_cell_length_a 7.479
_cell_length_b 7.491
_cell_length_c 3.207
_cell_angle_alpha 90.00
_cell_angle_beta 90.00
_cell_angle_gamma 90.00
_symmetry_space_group_name_H-M 'C m m m'
_symmetry_Int_Tables_number 65
_symmetry_space_group_name_Hall '-C 2 2'
loop_
_atom_site_label
_atom_site_fract_x
_atom_site_fract_y
_atom_site_fract_z
_atom_site_occupancy
Be1 0.000 0.000 0.000 1
In1 0.250 0.250 0.500 1
Br1 0.000 0.500 0.000 1
```

Results
* uncorrected formation energy: 0.280 eV/atom

---

Entry from Alexandria via LeMat-Bulk: a geometry-optimized P4WO12 structure (GGA-PBEsol).

Geometry as CIF:
```
data_P4WO12
_chemical_formula_sum 'P16 W4 O48'
_cell_length_a 14.930
_cell_length_b 7.395
_cell_length_c 9.469
_cell_angle_alpha 90.00
_cell_angle_beta 114.66
_cell_angle_gamma 90.00
_symmetry_space_group_name_H-M 'C 1 2/c 1'
_symmetry_Int_Tables_number 15
_symmetry_space_group_name_Hall '-C 2yc'
loop_
_atom_site_label
_atom_site_fract_x
_atom_site_fract_y
_atom_site_fract_z
_atom_site_occupancy
P1 0.129 0.146 0.152 1
P2 0.164 0.464 0.702 1
W1 0.000 0.172 0.750 1
O1 0.059 0.171 0.985 1
O2 0.093 0.360 0.748 1
O3 0.094 0.020 0.244 1
O4 0.150 0.330 0.244 1
O5 0.165 0.440 0.549 1
O6 0.230 0.077 0.155 1
```

Results
* uncorrected formation energy: -1.977 eV/atom